# Sr2Rh3Pb2

Crystalline Sr2Rh3Pb2 at its relaxed geometry (PBE, the Alexandria database).

Geometry as POSCAR:
```
Sr2Rh3Pb2
1.0
-3.934 1.672 -0.547
1.125 -4.378 -4.505
-2.016 -2.638 6.443
Rh Sr Pb
3 2 2
Cartesian
-2.976 -0.888 1.716 Rh
-1.967 0.836 -0.273 Rh
-1.849 -4.456 -0.325 Rh
-3.036 -2.356 -2.346 Sr
-1.789 -2.988 3.737 Sr
-4.019 -3.520 1.168 Pb
-0.806 -1.824 0.223 Pb
```

## Properties
Crystal system ... monoclinic
Fermi-level density of states ... 0.64 states/eV/atom
Energy relative to the elements ... -282 meV per atom



# PrZn3NiPt

Crystalline PrZn3NiPt at its relaxed geometry (PBE, the Alexandria database).

Geometry as POSCAR:
```
PrZn3NiPt
1.0
5.490 0.000 0.000
0.000 6.200 0.000
0.000 -3.100 6.368
Ni Zn Pt Pr
2 6 2 2
Cartesian
1.372 3.100 5.660 Ni
4.117 0.000 0.708 Ni
0.000 4.352 0.000 Zn
0.000 1.847 0.000 Zn
4.117 3.100 4.617 Zn
2.745 4.352 0.000 Zn
2.745 1.847 0.000 Zn
1.372 0.000 1.751 Zn
4.117 3.100 1.999 Pt
1.372 0.000 4.368 Pt
4.117 0.000 3.384 Pr
1.372 3.100 2.984 Pr
```

## Properties
Crystal system ... orthorhombic
Fermi-level density of states ... 0.40 states/eV/atom
Energy relative to the elements ... -401 meV per atom



# RbAg2RuF

Crystalline RbAg2RuF at its relaxed geometry (PBE, the Alexandria database).

Geometry as POSCAR:
```
RbAg2RuF
1.0
-1.809 1.739 -4.914
-4.875 -2.406 0.943
-1.341 3.381 1.690
Ag Rb F Ru
2 1 1 1
Cartesian
-2.438 -1.203 0.471 Ag
-0.904 0.870 -2.457 Ag
-4.013 1.357 -1.141 Rb
0.000 0.000 0.000 F
-0.671 1.690 0.845 Ru
```

## Properties
Crystal system ... tetragonal
Fermi-level density of states ... 1.14 states/eV/atom



Number 1: M_tot 0.00 μB/f.u., total DFT energy (no corrections) -4.972 eV per atom. Number 2: M_tot 0.00 μB/f.u., total DFT energy (no corrections) -3.805 eV per atom. Number 3: M_tot 1.64 μB/f.u., total DFT energy (no corrections) -3.065 eV per atom.